# 1
Material: Si2RuF
Method: DFT, PBE
State: relaxed

The structure in CIF format:
```
data_Si2RuF
_space_group_name_H-M_alt 'F m -3 m'
_space_group_IT_number 225
_space_group_name_Hall '-F 4 2 3'
_cell_length_a 5.9205
_cell_length_b 5.9205
_cell_length_c 5.9205
_cell_angle_alpha 90.00
_cell_angle_beta 90.00
_cell_angle_gamma 90.00
loop_
_atom_site_label
_atom_site_type_symbol
_atom_site_fract_x
_atom_site_fract_y
_atom_site_fract_z
Si1 Si 0.2500 0.2500 0.2500
Ru1 Ru 0.0000 0.0000 0.0000
F1 F 0.0000 0.0000 0.5000
```

- calculated volume (Å³/atom) = 12.970
- formation energy from raw total energies (eV per atom) = -0.1871

# 2
Material: Co2As
Method: DFT, PBE
State: relaxed

The structure in CIF format:
```
data_Co2As
_space_group_name_H-M_alt 'P 63/m m c'
_space_group_IT_number 194
_space_group_name_Hall '-P 6c 2c'
_cell_length_a 3.6764
_cell_length_b 3.6764
_cell_length_c 6.8159
_cell_angle_alpha 90.00
_cell_angle_beta 90.00
_cell_angle_gamma 120.00
loop_
_atom_site_label
_atom_site_type_symbol
_atom_site_fract_x
_atom_site_fract_y
_atom_site_fract_z
Co1 Co 0.3333 0.6667 0.0702
As1 As 0.0000 0.0000 0.2500
```

- ΔH_f (0 K) (meV per atom) = 168
- calculated volume (Å³/atom) = 13.296

# 3
Material: Nd4Cu2Hg
Method: DFT, PBE
State: relaxed

The structure in CIF format:
```
data_Nd4Cu2Hg
_space_group_name_H-M_alt 'R -3 m'
_space_group_IT_number 166
_space_group_name_Hall '-R 3 2"'
_cell_length_a 5.1576
_cell_length_b 5.1576
_cell_length_c 24.8933
_cell_angle_alpha 90.00
_cell_angle_beta 90.00
_cell_angle_gamma 120.00
loop_
_atom_site_label
_atom_site_type_symbol
_atom_site_fract_x
_atom_site_fract_y
_atom_site_fract_z
Nd1 Nd 0.0000 0.0000 0.1171
Nd2 Nd 0.0000 0.0000 0.3697
Cu1 Cu 0.0000 0.0000 0.2477
Hg1 Hg 0.0000 0.0000 0.5000
```

- ΔH_f (0 K) (meV per atom) = -111
- calculated volume (Å³/atom) = 27.308